Record 1
Crystalline ScGa2Br at its relaxed geometry. Source: Alexandria via LeMat-Bulk, functional PBE.

Unit cell a=5.071 b=5.071 c=5.071 alpha=60.00 beta=60.00 gamma=60.00
Sites, in units of the cell vectors:
Br (0.500, 0.500, 0.500)
Ga (0.250, 0.250, 0.250)
Sc (0.000, 0.000, 0.000)
Ga (0.750, 0.750, 0.750)

Record 2
Crystalline ScGa2Br at its relaxed geometry. Source: Alexandria via LeMat-Bulk, functional PBE.

Unit cell a=8.800 b=8.800 c=6.746 alpha=49.29 beta=49.29 gamma=90.00
Sites, in units of the cell vectors:
Sc (0.500, 0.500, 0.000)
Br (0.750, 0.250, 0.500)
Br (0.000, 0.000, 0.000)
Ga (0.375, 0.421, 0.750)
Ga (0.875, 0.829, 0.750)
Sc (0.250, 0.750, 0.500)
Ga (0.579, 0.125, 0.250)
Ga (0.171, 0.625, 0.250)

Record 3
Crystalline Sc3GaBr at its relaxed geometry. Source: Alexandria via LeMat-Bulk, functional PBE.

Unit cell a=4.931 b=4.931 c=4.931 alpha=90.00 beta=90.00 gamma=90.00
Sites, in units of the cell vectors:
Sc (0.000, 0.500, 0.000)
Ga (0.500, 0.500, 0.500)
Sc (0.000, 0.000, 0.500)
Br (0.000, 0.000, 0.000)
Sc (0.500, 0.000, 0.000)

Record 4
Crystalline ScGa2Br5 at its relaxed geometry. Source: Alexandria via LeMat-Bulk, functional PBE.

Unit cell a=7.538 b=10.536 c=8.757 alpha=63.99 beta=64.51 gamma=69.04
Sites, in units of the cell vectors:
Br (0.919, 0.932, 0.505)
Br (0.087, 0.534, 0.565)
Br (0.725, 0.316, 0.633)
Br (0.983, 0.635, 0.123)
Br (0.575, 0.751, 0.496)
Sc (0.951, 0.783, 0.315)
Ga (0.302, 0.018, 0.326)
Sc (0.951, 0.283, 0.815)
Br (0.815, 0.034, 0.065)
Ga (0.549, 0.049, 0.803)
Br (0.326, 0.816, 0.133)
Br (0.644, 0.432, 0.005)
Br (0.259, 0.135, 0.623)
Ga (0.354, 0.518, 0.826)
Ga (0.599, 0.549, 0.303)
Br (0.177, 0.251, 0.996)

M_tot for every record listed, in sequence, given in μB per formula unit: 0.00, 0.00, 0.00, 0.00.
Theoretical density for every record listed, in sequence, given in g/cm³: 4.8, 4.4, 3.9, 3.5.
Energy relative to the elements, uncorrected for every record listed, in sequence, given in eV per atom: 0.1122, -0.1181, -0.0716, -1.1045.